1.
Pm12Ga6Ni | Alexandria | GGA-PBE | relaxed; calculated density = 6.7 g cm⁻³; formation energy from the elements = -0.297 eV/atom; spin magnetization = 0.00 μB per atom; SG = R-3, No. 148
1.0
8.1627 0.4003 0.4795
-0.8418 8.1290 0.4795
-0.8418 -0.9808 8.0839
Pm Ga Ni
12 6 1
Cartesian
5.7249 4.5128 4.3033
2.5201 6.1784 5.2091
3.5927 3.1006 7.0098
0.7541 3.0357 4.7396
3.9589 1.3702 3.8338
2.8863 4.4479 2.0332
7.5088 0.7606 3.0902
6.8656 5.8550 1.0748
4.7464 -0.3138 7.7424
-1.0297 6.7880 5.9528
-0.3866 1.6936 7.9682
1.7326 7.8623 1.3005
4.4144 6.9598 2.8346
5.6208 2.9509 1.6886
0.2689 5.7278 3.2051
2.0646 0.5887 6.2084
0.8582 4.5977 7.3544
6.2102 1.8207 5.8378
0.0000 0.0000 0.0000

=====

2.
PmGa4Ni6 | Alexandria | GGA-PBE | relaxed; calculated density = 8.2 g cm⁻³; formation energy from the elements = -0.430 eV/atom; spin magnetization = 0.00 μB per atom; SG = P-6m2, No. 187
1.0
-1.8700 2.8346 -1.8071
-1.5801 -4.2923 -5.0976
-4.2093 0.6430 5.3642
Pm Ga Ni
1 4 6
Cartesian
0.0000 0.0000 0.0000
-4.7316 -1.6328 -1.7592
-2.4038 -0.1655 -1.8664
-3.0391 -1.8914 -3.9161
-3.3329 -1.0021 1.8769
-1.1444 -2.2527 -2.3492
-5.1925 -0.5812 0.3673
-2.8015 -1.9996 -0.2375
-3.4236 -3.6893 -2.2443
-4.5977 1.0343 2.2859
-3.0135 0.7924 0.2669

=====

3.
Pm3Ga2Ni2 | Alexandria | GGA-PBE | relaxed; calculated density = 7.7 g cm⁻³; formation energy from the elements = -0.518 eV/atom; spin magnetization = 0.00 μB per atom; SG = Pbcm, No. 57
1.0
5.6485 0.0000 0.0000
0.0000 8.1083 0.0000
0.0000 0.0000 13.0503
Pm Ga Ni
12 8 8
Cartesian
0.8512 4.8892 1.2918
4.7972 3.2191 7.8169
4.7972 0.8351 5.2334
0.8512 7.2732 11.7585
4.7972 3.2191 11.7585
0.8512 4.8892 5.2334
0.8512 7.2732 7.8169
4.7972 0.8351 1.2918
1.9904 2.0139 3.2626
3.6580 6.0943 9.7877
3.6580 6.0681 3.2626
1.9904 2.0402 9.7877
2.0116 2.0271 0.0000
3.6369 6.0812 6.5251
3.6369 6.0812 0.0000
2.0116 2.0271 6.5251
4.7529 3.2098 3.2626
0.8956 4.8984 9.7877
0.8956 7.2640 3.2626
4.7529 0.8443 9.7877
3.5009 3.7887 1.1560
2.1476 4.3195 7.6812
2.1476 7.8429 5.3691
3.5009 0.2654 11.8942
2.1476 4.3195 11.8942
3.5009 3.7887 5.3691
3.5009 0.2654 7.6812
2.1476 7.8429 1.1560

=====

4.
Pm3Ga4Ni7 | Alexandria | GGA-PBE | relaxed; calculated density = 8.2 g cm⁻³; formation energy from the elements = -0.499 eV/atom; spin magnetization = 0.00 μB per atom; SG = C2/m, No. 12
1.0
-0.3227 -2.9511 2.8438
-3.8823 -6.0219 -3.7181
5.1176 -5.3092 -1.9574
Pm Ga Ni
3 4 7
Cartesian
0.1363 -3.0074 -0.1340
0.7763 -11.2748 -2.6976
0.6176 -5.6656 -2.8377
-1.2533 -5.7820 -0.1995
2.1659 -8.5002 -2.6322
-1.9484 -9.8685 -1.5475
2.8611 -4.4137 -1.2842
-0.3566 -8.6522 -3.0761
3.0709 -6.8948 -0.8636
2.9889 -9.3453 -0.4444
1.2692 -5.6300 0.2445
-2.0762 -4.9369 -2.3872
0.0000 0.0000 0.0000
-2.1582 -7.3874 -1.9681

=====

5.
PmGa2Ni5 | Alexandria | GGA-PBE | relaxed; calculated density = 8.2 g cm⁻³; formation energy from the elements = -0.348 eV/atom; spin magnetization = 0.00 μB per atom; SG = Immm, No. 71
1.0
-0.9492 3.1678 1.6790
-3.6529 -1.3910 4.6556
2.7769 0.1380 5.4059
Pm Ga Ni
1 2 5
Cartesian
0.0000 0.0000 0.0000
-1.3693 1.4555 8.7685
-0.4560 0.4593 2.9720
-0.4380 -0.6265 5.0308
-2.1182 1.2671 4.6043
0.2930 0.6477 7.1362
-2.0985 0.0790 6.8571
0.2733 1.8358 4.8834

=====

6.
Pm2GaNi5 | Alexandria | GGA-PBE | relaxed; calculated density = 7.9 g cm⁻³; formation energy from the elements = -0.282 eV/atom; spin magnetization = 0.00 μB per atom; SG = I4mm, No. 107
1.0
-4.6529 2.6681 -2.2148
1.5928 -5.2218 -1.9671
-0.1402 -2.1325 5.3950
Pm Ga Ni
2 1 5
Cartesian
-2.0456 -1.5090 2.4183
-1.1791 -3.0537 -1.2628
1.4265 -7.2221 3.3663
-0.9403 -4.0581 1.4815
1.0832 -4.2843 0.1389
0.3516 -2.9800 3.2470
-2.2777 -0.5380 -0.3104
0.4086 -2.0688 0.9643

=====

Number 1: volume 546.48 Å³/cell. Number 2: volume 156.26 Å³/cell. Number 3: volume 597.69 Å³/cell. Number 4: volume 227.40 Å³/cell. Number 5: volume 116.90 Å³/cell. Number 6: volume 137.55 Å³/cell.